! AlBI2F | Alexandria | PBE | relaxed; values from VASP
! D(E_F)   1.770 states/eV per cell
! Calculated density   4.9 Mg/m³
! Raw total energy   -2.958 eV/atom
! Crystal system   tetragonal
! M_tot   0.0 μB per formula unit
! SG   P4/mmm, No. 123
&SYSTEM
  ibrav = 0, nat = 5, ntyp = 4
/
ATOMIC_SPECIES
Al 26.98 Al.upf
I 126.90 I.upf
F 19.00 F.upf
B 10.81 B.upf
ATOMIC_POSITIONS angstrom
Al -3.859 0.448 -1.446
I -1.963 1.325 1.033
F -1.135 -1.592 -0.116
I -0.761 0.715 -2.363
B 0.000 0.000 0.000
CELL_PARAMETERS angstrom
-1.522 1.430 -4.726
-2.270 -3.183 -0.232
-3.926 2.649 2.066



! AlBIF2 | Alexandria | PBE | relaxed; values from VASP
! D(E_F)   1.627 states/eV per cell
! Calculated density   4.9 Mg/m³
! Raw total energy   -4.227 eV/atom
! Crystal system   tetragonal
! M_tot   0.0 μB per formula unit
! SG   P4/mmm, No. 123
&SYSTEM
  ibrav = 0, nat = 5, ntyp = 4
/
ATOMIC_SPECIES
I 126.90 I.upf
B 10.81 B.upf
F 19.00 F.upf
Al 26.98 Al.upf
ATOMIC_POSITIONS angstrom
I -2.550 -1.295 -2.303
B -0.506 -2.314 -1.116
F -0.280 0.830 -1.595
Al 0.000 0.000 0.000
F -1.763 0.189 0.408
CELL_PARAMETERS angstrom
-0.559 1.660 -3.190
-1.013 -4.629 -2.232
-3.527 0.379 0.815



! AlBOF2 | Alexandria | PBE | relaxed; values from VASP
! D(E_F)   0.143 states/eV per cell
! Energy above the most stable polymorph in this dataset   0.036 eV per atom
! Calculated density   2.8 Mg/m³
! Crystal system   tetragonal
! M_tot   0.0 μB per formula unit
! SG   P4/mmm, No. 123
&SYSTEM
  ibrav = 0, nat = 5, ntyp = 4
/
ATOMIC_SPECIES
F 19.00 F.upf
B 10.81 B.upf
Al 26.98 Al.upf
O 16.00 O.upf
ATOMIC_POSITIONS angstrom
F 0.000 2.267 0.000
B 0.000 0.000 0.000
Al 2.267 2.267 1.311
O 0.000 0.000 1.311
F 2.267 0.000 0.000
CELL_PARAMETERS angstrom
4.534 0.000 0.000
0.000 4.534 0.000
0.000 0.000 2.622



! AlBOF2 | Alexandria | PBE | relaxed; values from VASP
! D(E_F)   0.000 states/eV per cell
! Energy above the most stable polymorph in this dataset   0.000 eV per atom
! Calculated density   3.0 Mg/m³
! Crystal system   tetragonal
! M_tot   0.0 μB per formula unit
! SG   P4/mmm, No. 123
&SYSTEM
  ibrav = 0, nat = 5, ntyp = 4
/
ATOMIC_SPECIES
Al 26.98 Al.upf
O 16.00 O.upf
F 19.00 F.upf
B 10.81 B.upf
ATOMIC_POSITIONS angstrom
Al 0.000 0.000 0.000
O 0.902 1.243 1.006
F 1.104 -1.354 0.683
F -1.204 -0.269 1.413
B 0.802 -0.380 3.101
CELL_PARAMETERS angstrom
-2.408 -0.538 2.825
2.208 -2.707 1.366
1.804 2.486 2.011



! AlBSF2 | Alexandria | PBE | relaxed; values from VASP
! D(E_F)   1.714 states/eV per cell
! Calculated density   2.9 Mg/m³
! Raw total energy   -4.716 eV/atom
! Crystal system   tetragonal
! M_tot   0.7 μB per formula unit
! SG   P4/mmm, No. 123
&SYSTEM
  ibrav = 0, nat = 5, ntyp = 4
/
ATOMIC_SPECIES
B 10.81 B.upf
F 19.00 F.upf
Al 26.98 Al.upf
S 32.06 S.upf
ATOMIC_POSITIONS angstrom
B 0.262 -1.480 2.173
F -1.708 -0.120 0.125
F -0.029 1.417 0.969
Al 0.000 0.000 0.000
S -1.475 -0.183 3.266
CELL_PARAMETERS angstrom
-3.416 -0.240 0.249
0.525 -2.960 4.346
-0.058 2.834 1.937



! Sc2AlBF | Alexandria | PBE | relaxed; values from VASP
! D(E_F)   4.783 states/eV per cell
! Calculated density   2.4 Mg/m³
! Raw total energy   -4.677 eV/atom
! Crystal system   tetragonal
! M_tot   1.4 μB per formula unit
! SG   P4/mmm, No. 123
&SYSTEM
  ibrav = 0, nat = 5, ntyp = 4
/
ATOMIC_SPECIES
Sc 44.96 Sc.upf
B 10.81 B.upf
Al 26.98 Al.upf
F 19.00 F.upf
ATOMIC_POSITIONS angstrom
Sc -2.176 0.020 1.467
B -1.700 -3.043 2.215
Al 0.000 0.000 0.000
F 0.956 -0.573 1.426
Sc -0.480 -2.490 -0.678
CELL_PARAMETERS angstrom
-0.960 -4.979 -1.357
1.913 -1.146 2.853
-4.352 0.040 2.934



! AlSiBF2 | Alexandria | PBE | relaxed; values from VASP
! D(E_F)   1.180 states/eV per cell
! Calculated density   2.8 Mg/m³
! Raw total energy   -4.908 eV/atom
! Crystal system   tetragonal
! M_tot   0.0 μB per formula unit
! SG   P4/mmm, No. 123
&SYSTEM
  ibrav = 0, nat = 5, ntyp = 4
/
ATOMIC_SPECIES
Si 28.09 Si.upf
F 19.00 F.upf
Al 26.98 Al.upf
B 10.81 B.upf
ATOMIC_POSITIONS angstrom
Si 1.730 2.595 1.730
F 1.730 0.000 0.000
F 0.000 0.000 1.730
Al 0.000 0.000 0.000
B 0.000 2.595 0.000
CELL_PARAMETERS angstrom
3.459 0.000 0.000
0.000 5.191 0.000
0.000 0.000 3.459



! SrAlB2F | Alexandria | PBE | relaxed; values from VASP
! D(E_F)   2.466 states/eV per cell
! Calculated density   3.1 Mg/m³
! Raw total energy   -4.244 eV/atom
! Crystal system   tetragonal
! M_tot   0.0 μB per formula unit
! SG   P4/mmm, No. 123
&SYSTEM
  ibrav = 0, nat = 5, ntyp = 4
/
ATOMIC_SPECIES
F 19.00 F.upf
B 10.81 B.upf
Sr 87.62 Sr.upf
Al 26.98 Al.upf
ATOMIC_POSITIONS angstrom
F 2.102 -0.879 -1.042
B -0.225 -1.750 1.023
Sr 2.964 -1.864 1.528
B 1.087 0.765 1.547
Al 0.000 0.000 0.000
CELL_PARAMETERS angstrom
-0.449 -3.500 2.045
4.204 -1.757 -2.084
2.173 1.530 3.095



! Ti2AlBF | Alexandria | PBE | relaxed; values from VASP
! D(E_F)   5.242 states/eV per cell
! Calculated density   2.9 Mg/m³
! Raw total energy   -4.953 eV/atom
! Crystal system   tetragonal
! M_tot   1.7 μB per formula unit
! SG   P4/mmm, No. 123
&SYSTEM
  ibrav = 0, nat = 5, ntyp = 4
/
ATOMIC_SPECIES
Ti 47.87 Ti.upf
F 19.00 F.upf
B 10.81 B.upf
Al 26.98 Al.upf
ATOMIC_POSITIONS angstrom
Ti 2.420 0.000 0.000
F 2.420 1.883 2.420
B 0.000 1.883 0.000
Ti 0.000 0.000 2.420
Al 0.000 0.000 0.000
CELL_PARAMETERS angstrom
4.841 0.000 0.000
0.000 3.766 0.000
0.000 0.000 4.841



! ZrAl2BF | Alexandria | PBE | relaxed; values from VASP
! D(E_F)   1.046 states/eV per cell
! Calculated density   4.0 Mg/m³
! Raw total energy   -5.060 eV/atom
! Crystal system   tetragonal
! M_tot   0.0 μB per formula unit
! SG   P4/mmm, No. 123
&SYSTEM
  ibrav = 0, nat = 5, ntyp = 4
/
ATOMIC_SPECIES
B 10.81 B.upf
Al 26.98 Al.upf
Zr 91.22 Zr.upf
F 19.00 F.upf
ATOMIC_POSITIONS angstrom
B 1.557 0.290 1.629
Al -1.112 -1.084 1.256
Zr -0.493 0.864 3.486
F 0.000 0.000 0.000
Al -0.938 1.658 0.601
CELL_PARAMETERS angstrom
-2.224 -2.168 2.512
3.113 0.580 3.257
-1.875 3.316 1.202



! Al3Fe8B2 | Alexandria | PBE | relaxed; values from VASP
! D(E_F)   8.118 states/eV per cell
! Calculated density   6.0 Mg/m³
! ΔH_f (0 K)   -77 meV/atom
! Crystal system   orthorhombic
! M_tot   16.2 μB per formula unit
! SG   Cmmm, No. 65
&SYSTEM
  ibrav = 0, nat = 13, ntyp = 3
/
ATOMIC_SPECIES
Fe 55.84 Fe.upf
B 10.81 B.upf
Al 26.98 Al.upf
ATOMIC_POSITIONS angstrom
Fe 1.884 0.803 4.667
B 1.884 4.377 1.356
Al 1.884 0.000 0.000
Fe 0.000 0.863 1.581
Fe 1.884 5.052 -0.602
Fe 1.884 3.491 3.199
Fe 3.767 2.010 3.681
Fe 3.767 4.992 2.483
Fe 0.000 3.845 0.383
B 1.884 1.479 2.708
Al 0.000 3.938 -2.150
Fe 1.884 2.364 0.866
Al 0.000 1.665 -0.909
CELL_PARAMETERS angstrom
3.767 0.000 0.000
0.000 5.602 -3.059
0.000 0.253 7.123



! Al3FeB | Alexandria | PBE | relaxed; values from VASP
! D(E_F)   1.936 states/eV per cell
! Energy above the most stable polymorph in this dataset   0.321 eV per atom
! Calculated density   2.8 Mg/m³
! ΔH_f (0 K)   852 meV/atom
! Crystal system   cubic
! M_tot   0.0 μB per formula unit
! SG   Pm-3m, No. 221
&SYSTEM
  ibrav = 0, nat = 5, ntyp = 3
/
ATOMIC_SPECIES
B 10.81 B.upf
Fe 55.84 Fe.upf
Al 26.98 Al.upf
ATOMIC_POSITIONS angstrom
B -1.007 -3.020 -2.163
Fe 0.000 0.000 0.000
Al -1.330 0.082 -1.778
Al 1.410 -1.306 -1.115
Al -1.086 -1.796 0.730
CELL_PARAMETERS angstrom
-2.661 0.164 -3.556
2.820 -2.612 -2.231
-2.173 -3.592 1.460